[1]
# MgZn4Cu2

An optimized crystal structure of MgZn4Cu2 (PBE, Alexandria).

Structure (POSCAR):
```
MgZn4Cu2
1.0
-3.2241 3.2241 2.5039
3.2241 -3.2241 2.5039
3.2241 3.2241 -2.5039
Mg Zn Cu
1 4 2
direct
0.0000 0.0000 0.0000
0.3030 0.3030 0.6059
0.3030 0.6970 0.0000
0.6970 0.3030 0.0000
0.6970 0.6970 0.3941
0.2500 0.7500 0.5000
0.7500 0.2500 0.5000
```

Summary:
D(E_F) = 0.25 states/eV per atom
E = -2.189 eV per atom
DFT formation energy = -0.06 eV/atom
Magnetic moment = 0.00 μB/f.u.



[2]
# NaSm2Tl

An optimized crystal structure of NaSm2Tl (PBE, Alexandria).

Structure (POSCAR):
```
NaSm2Tl
1.0
3.7974 0.0000 0.0000
0.0000 3.7974 0.0000
0.0000 0.0000 8.6842
Na Sm Tl
1 2 1
direct
0.0000 0.0000 0.0000
0.5000 0.5000 0.2778
0.5000 0.5000 0.7222
0.0000 0.0000 0.5000
```

Summary:
D(E_F) = 1.21 states/eV per atom
E = -3.313 eV per atom
DFT formation energy = -0.03 eV/atom
Magnetic moment = 0.00 μB/f.u.



[3]
# CaSbH

An optimized crystal structure of CaSbH (PBE, Alexandria).

Structure (POSCAR):
```
CaSbH
1.0
4.1980 0.0000 0.0000
0.0051 4.2053 0.0000
0.1060 0.1484 7.2430
Ca Sb H
2 2 2
direct
0.2477 0.2465 0.1458
0.7523 0.7535 0.8542
0.2616 0.2654 0.5688
0.7384 0.7346 0.4312
0.2495 0.7506 0.0003
0.7505 0.2494 0.9997
```

Summary:
D(E_F) = 0.13 states/eV per atom
E = -3.715 eV per atom
Magnetic moment = 0.00 μB/f.u.



[4]
# CePaTc

An optimized crystal structure of CePaTc (PBE, Alexandria).

Structure (POSCAR):
```
CePaTc
1.0
-1.7477 1.7477 5.2470
1.7477 -1.7477 5.2470
1.7477 1.7477 -5.2470
Ce Pa Tc
1 1 1
direct
0.0000 0.0000 0.0000
0.3244 0.3244 0.0000
0.6839 0.6839 0.0000
```

Summary:
D(E_F) = 1.40 states/eV per atom
E = -8.760 eV per atom
DFT formation energy = -0.16 eV/atom
Magnetic moment = 0.00 μB/f.u.



[5]
# LiZn2Co2

An optimized crystal structure of LiZn2Co2 (PBE, Alexandria).

Structure (POSCAR):
```
LiZn2Co2
1.0
7.2554 0.0000 0.0000
0.0000 7.2554 0.0000
0.0000 0.0000 2.5654
Li Zn Co
2 4 4
direct
0.0000 0.0000 0.0000
0.5000 0.5000 0.0000
0.1823 0.3177 0.5000
0.3177 0.8177 0.5000
0.6823 0.1823 0.5000
0.8177 0.6823 0.5000
0.1123 0.6123 0.0000
0.3877 0.1123 0.0000
0.6123 0.8877 0.0000
0.8877 0.3877 0.0000
```

Summary:
D(E_F) = 1.85 states/eV per atom
E = -3.716 eV per atom
DFT formation energy = 0.02 eV/atom
Magnetic moment = 2.35 μB/f.u.



[6]
# HoSc3Pt4

An optimized crystal structure of HoSc3Pt4 (PBE, Alexandria).

Structure (POSCAR):
```
HoSc3Pt4
1.0
9.5642 0.0000 0.0000
0.0000 6.5546 0.0000
0.0000 0.0000 4.7842
Ho Sc Pt
2 6 8
direct
0.0000 0.0000 0.0000
0.5000 0.0000 0.0000
0.0000 0.5000 0.0000
0.2500 0.0000 0.4973
0.2500 0.5000 0.4957
0.5000 0.5000 0.0000
0.7500 0.0000 0.5027
0.7500 0.5000 0.5043
0.0000 0.2600 0.5000
0.0000 0.7400 0.5000
0.2500 0.2603 0.9935
0.2500 0.7397 0.9935
0.5000 0.2600 0.5000
0.5000 0.7400 0.5000
0.7500 0.2603 0.0065
0.7500 0.7397 0.0065
```

Summary:
D(E_F) = 0.46 states/eV per atom
E = -7.192 eV per atom
DFT formation energy = -1.23 eV/atom
Magnetic moment = 0.00 μB/f.u.



[7]
# Sc2TlAs2

An optimized crystal structure of Sc2TlAs2 (PBE, Alexandria).

Structure (POSCAR):
```
Sc2TlAs2
1.0
7.7091 0.0000 0.0000
0.0000 7.7091 0.0000
0.0000 0.0000 3.5965
Sc Tl As
4 2 4
direct
0.1434 0.3566 0.0000
0.3566 0.8566 0.0000
0.6434 0.1434 0.0000
0.8566 0.6434 0.0000
0.0000 0.0000 0.0000
0.5000 0.5000 0.0000
0.1573 0.6573 0.5000
0.3427 0.1573 0.5000
0.6573 0.8427 0.5000
0.8427 0.3427 0.5000
```

Summary:
D(E_F) = 0.73 states/eV per atom
E = -5.576 eV per atom
DFT formation energy = -0.71 eV/atom
Magnetic moment = 0.18 μB/f.u.



[8]
# MgVBi2Mo

An optimized crystal structure of MgVBi2Mo (PBE, Alexandria).

Structure (POSCAR):
```
MgVBi2Mo
1.0
5.3192 0.0000 0.0000
0.0000 5.3192 0.0000
0.0000 0.0000 5.1245
Mg V Bi Mo
1 1 2 1
direct
0.0000 0.0000 0.0000
0.5000 0.5000 0.0000
0.0000 0.5000 0.5000
0.5000 0.0000 0.5000
0.0000 0.0000 0.5000
```

Summary:
D(E_F) = 1.86 states/eV per atom
E = -4.595 eV per atom
DFT formation energy = 1.27 eV/atom
Magnetic moment = 0.10 μB/f.u.



[9]
# KTb2IrO8

An optimized crystal structure of KTb2IrO8 (PBE, Alexandria).

Structure (POSCAR):
```
KTb2IrO8
1.0
4.1200 0.0000 0.0000
0.0572 5.2930 0.0000
1.8742 0.0177 6.9524
K Tb Ir O
1 2 1 8
direct
0.0000 0.0000 0.0000
0.3797 0.5138 0.2874
0.6203 0.4862 0.7126
0.0000 0.0000 0.5000
0.1783 0.4951 0.0030
0.1867 0.3148 0.5861
0.2018 0.7770 0.6400
0.3582 0.9554 0.2698
0.6418 0.0446 0.7302
0.7982 0.2230 0.3600
0.8133 0.6852 0.4139
0.8217 0.5049 0.9970
```

Summary:
ΔE_f (raw) = -1.81 eV/atom
D(E_F) = 0.42 states/eV per atom
E = -6.721 eV per atom
Magnetic moment = 0.71 μB/f.u.



[10]
# YPd3Au2

An optimized crystal structure of YPd3Au2 (PBE, Alexandria).

Structure (POSCAR):
```
YPd3Au2
1.0
2.0901 -6.3541 0.0000
2.0901 6.3541 0.0000
0.0000 0.0000 4.0253
Y Pd Au
1 3 2
direct
0.0000 0.0000 0.0000
0.1700 0.8300 0.5000
0.5000 0.5000 0.5000
0.8300 0.1700 0.5000
0.3331 0.6669 0.0000
0.6669 0.3331 0.0000
```

Summary:
D(E_F) = 0.39 states/eV per atom
E = -5.378 eV per atom
DFT formation energy = -0.61 eV/atom
Magnetic moment = 0.00 μB/f.u.



[11]
# ZrAuBr

An optimized crystal structure of ZrAuBr (PBE, Alexandria).

Structure (POSCAR):
```
ZrAuBr
1.0
4.7138 0.0000 0.0000
-2.3569 4.0823 0.0000
0.0000 0.0000 3.3540
Zr Au Br
1 1 1
direct
0.0000 0.0000 0.0000
0.3333 0.6667 0.5000
0.6667 0.3333 0.0000
```

Summary:
ΔE_f (raw) = -0.23 eV/atom
D(E_F) = 1.01 states/eV per atom
E = -4.730 eV per atom
Magnetic moment = 0.00 μB/f.u.



[12]
# ZnIr2Pb

An optimized crystal structure of ZnIr2Pb (PBE, Alexandria).

Structure (POSCAR):
```
ZnIr2Pb
1.0
-2.1449 2.1449 3.6142
2.1449 -2.1449 3.6142
2.1449 2.1449 -3.6142
Zn Ir Pb
1 2 1
direct
0.0000 0.0000 0.0000
0.2500 0.7500 0.5000
0.7500 0.2500 0.5000
0.5000 0.5000 0.0000
```

Summary:
D(E_F) = 0.45 states/eV per atom
E = -5.439 eV per atom
DFT formation energy = 0.24 eV/atom
Magnetic moment = 0.00 μB/f.u.



[13]
# AgSn3Se4

An optimized crystal structure of AgSn3Se4 (PBE, Alexandria).

Structure (POSCAR):
```
AgSn3Se4
1.0
4.1662 0.0000 0.0000
0.0000 5.9095 4.1618
0.0000 -5.9095 4.1618
Ag Sn Se
1 3 4
direct
0.0000 0.0000 0.0000
0.0000 0.4996 0.4996
0.5000 0.4994 0.9994
0.5000 0.9994 0.4994
0.0000 0.2459 0.7525
0.0000 0.7525 0.2459
0.5000 0.2421 0.2421
0.5000 0.7568 0.7568
```

Summary:
ΔE_f (raw) = -0.35 eV/atom
D(E_F) = 0.49 states/eV per atom
E = -3.947 eV per atom
Magnetic moment = 0.00 μB/f.u.



[14]
# La2DyCdO

An optimized crystal structure of La2DyCdO (PBE, Alexandria).

Structure (POSCAR):
```
La2DyCdO
1.0
5.1266 0.0000 0.0000
0.0000 5.1266 0.0000
0.0000 0.0000 4.7536
La Dy Cd O
2 1 1 1
direct
0.0000 0.5000 0.0000
0.5000 0.0000 0.0000
0.0000 0.0000 0.5000
0.5000 0.5000 0.5000
0.0000 0.0000 0.0000
```

Summary:
ΔE_f (raw) = -1.30 eV/atom
D(E_F) = 0.80 states/eV per atom
E = -5.361 eV per atom
Magnetic moment = 0.00 μB/f.u.



[15]
# K2TaCd

An optimized crystal structure of K2TaCd (PBE, Alexandria).

Structure (POSCAR):
```
K2TaCd
1.0
1.6956 -2.5404 0.0000
1.6956 2.5404 0.0000
0.0000 0.0000 12.8433
K Ta Cd
2 1 1
direct
0.0000 0.0000 0.2487
0.0000 0.0000 0.7513
0.5000 0.5000 0.0000
0.5000 0.5000 0.5000
```

Summary:
D(E_F) = 0.77 states/eV per atom
E = -2.851 eV per atom
DFT formation energy = 0.89 eV/atom
Magnetic moment = 0.00 μB/f.u.



[16]
# GaB3Os

An optimized crystal structure of GaB3Os (PBE, Alexandria).

Structure (POSCAR):
```
GaB3Os
1.0
3.9248 0.0000 0.0000
0.0000 3.9248 0.0000
0.0000 0.0000 3.9248
Ga B Os
1 3 1
direct
0.0000 0.0000 0.0000
0.0000 0.0000 0.5000
0.0000 0.5000 0.0000
0.5000 0.0000 0.0000
0.5000 0.5000 0.5000
```

Summary:
D(E_F) = 0.71 states/eV per atom
E = -4.505 eV per atom
DFT formation energy = 2.35 eV/atom
Magnetic moment = 0.00 μB/f.u.



[17]
# BaY2Cd2

An optimized crystal structure of BaY2Cd2 (PBE, Alexandria).

Structure (POSCAR):
```
BaY2Cd2
1.0
9.1052 0.0000 0.0000
0.0000 9.1052 0.0000
0.0000 0.0000 3.8445
Ba Y Cd
2 4 4
direct
0.0000 0.0000 0.0000
0.5000 0.5000 0.0000
0.1611 0.3389 0.5000
0.3389 0.8389 0.5000
0.6611 0.1611 0.5000
0.8389 0.6611 0.5000
0.1295 0.6295 0.0000
0.3705 0.1295 0.0000
0.6295 0.8705 0.0000
0.8705 0.3705 0.0000
```

Summary:
D(E_F) = 1.28 states/eV per atom
E = -3.437 eV per atom
DFT formation energy = -0.10 eV/atom
Magnetic moment = 0.00 μB/f.u.



[18]
# TcW2Br

An optimized crystal structure of TcW2Br (PBE, Alexandria).

Structure (POSCAR):
```
TcW2Br
1.0
4.9001 -1.5010 0.0000
4.9001 1.5010 0.0000
-0.2764 0.0000 4.5873
Tc W Br
1 2 1
direct
0.0000 0.0000 0.0000
0.2748 0.2748 0.7997
0.5535 0.5535 0.5633
0.7779 0.7779 0.2709
```

Summary:
ΔE_f (raw) = 0.89 eV/atom
D(E_F) = 0.96 states/eV per atom
E = -8.593 eV per atom
Magnetic moment = 0.00 μB/f.u.



[19]
# ZrNiBr2

An optimized crystal structure of ZrNiBr2 (PBE, Alexandria).

Structure (POSCAR):
```
ZrNiBr2
1.0
0.0000 3.3457 3.3457
3.3457 0.0000 3.3457
3.3457 3.3457 0.0000
Zr Ni Br
1 1 2
direct
0.0000 0.0000 0.0000
0.5000 0.5000 0.5000
0.2500 0.2500 0.2500
0.7500 0.7500 0.7500
```

Summary:
ΔE_f (raw) = 0.03 eV/atom
D(E_F) = 1.03 states/eV per atom
E = -4.388 eV per atom
Magnetic moment = 0.00 μB/f.u.



[20]
# KYTaTl2

An optimized crystal structure of KYTaTl2 (PBE, Alexandria).

Structure (POSCAR):
```
KYTaTl2
1.0
5.5636 0.0000 0.0000
0.0000 5.5636 0.0000
0.0000 0.0000 5.3890
K Y Ta Tl
1 1 1 2
direct
0.0000 0.0000 0.0000
0.5000 0.5000 0.5000
0.0000 0.0000 0.5000
0.0000 0.5000 0.0000
0.5000 0.0000 0.0000
```

Summary:
D(E_F) = 1.08 states/eV per atom
E = -3.188 eV per atom
DFT formation energy = 1.64 eV/atom
Magnetic moment = 3.11 μB/f.u.



[21]
# Cs2PaAuSe4

An optimized crystal structure of Cs2PaAuSe4 (PBE, Alexandria).

Structure (POSCAR):
```
Cs2PaAuSe4
1.0
-4.0899 4.0899 4.6787
4.0899 -4.0899 4.6787
4.0899 4.0899 -4.6787
Cs Pa Au Se
2 1 1 4
direct
0.0000 0.0000 0.0000
0.7500 0.2500 0.5000
0.2500 0.7500 0.5000
0.5000 0.5000 0.0000
0.2432 0.1320 0.5864
0.3432 0.7568 0.8888
0.5456 0.6568 0.4136
0.8680 0.4544 0.1112
```

Summary:
ΔE_f (raw) = -0.92 eV/atom
E = -4.472 eV per atom
Magnetic moment = 0.00 μB/f.u.



[22]
# Li7AlPd3

An optimized crystal structure of Li7AlPd3 (PBE, Alexandria).

Structure (POSCAR):
```
Li7AlPd3
1.0
5.8260 0.0000 0.0000
-2.9130 5.0455 0.0000
0.0000 0.0000 6.2039
Li Al Pd
7 1 3
direct
0.0000 0.0000 0.0000
0.9998 0.4999 0.0348
0.1744 0.3488 0.6282
0.1744 0.8256 0.6282
0.5001 0.0002 0.0348
0.5001 0.4999 0.0348
0.6512 0.8256 0.6282
0.6667 0.3333 0.6337
0.3263 0.1631 0.3352
0.8369 0.1631 0.3352
0.8369 0.6737 0.3352
```

Summary:
D(E_F) = 0.43 states/eV per atom
E = -3.207 eV per atom
DFT formation energy = -0.23 eV/atom
Magnetic moment = 0.00 μB/f.u.



[23]
# LiGd3

An optimized crystal structure of LiGd3 (PBE, Alexandria).

Structure (POSCAR):
```
LiGd3
1.0
-2.4056 2.4056 5.1435
2.4056 -2.4056 5.1435
2.4056 2.4056 -5.1435
Li Gd
1 3
direct
0.0000 0.0000 0.0000
0.2500 0.7500 0.5000
0.5000 0.5000 0.0000
0.7500 0.2500 0.5000
```

Summary:
D(E_F) = 1.68 states/eV per atom
E = -10.868 eV per atom
DFT formation energy = 0.17 eV/atom
Magnetic moment = 7.74 μB/f.u.



[24]
# PaCdAg4

An optimized crystal structure of PaCdAg4 (PBE, Alexandria).

Structure (POSCAR):
```
PaCdAg4
1.0
0.0000 3.9541 3.9541
3.9541 0.0000 3.9541
3.9541 3.9541 0.0000
Pa Cd Ag
1 1 4
direct
0.0000 0.0000 0.0000
0.7500 0.7500 0.7500
0.3754 0.3754 0.3754
0.3754 0.3754 0.8740
0.3754 0.8740 0.3754
0.8740 0.3754 0.3754
```

Summary:
D(E_F) = 1.20 states/eV per atom
E = -3.524 eV per atom
DFT formation energy = 0.11 eV/atom
Magnetic moment = 1.01 μB/f.u.



[25]
# Y2OsRuPb

An optimized crystal structure of Y2OsRuPb (PBE, Alexandria).

Structure (POSCAR):
```
Y2OsRuPb
1.0
5.3347 0.0000 0.0000
0.0000 5.3347 0.0000
0.0000 0.0000 4.6508
Y Os Ru Pb
2 1 1 1
direct
0.0000 0.5000 0.0000
0.5000 0.0000 0.0000
0.0000 0.0000 0.5000
0.0000 0.0000 0.0000
0.5000 0.5000 0.5000
```

Summary:
D(E_F) = 0.71 states/eV per atom
E = -7.148 eV per atom
DFT formation energy = 0.28 eV/atom
Magnetic moment = 0.00 μB/f.u.



[26]
# UBiPd6

An optimized crystal structure of UBiPd6 (PBE, Alexandria).

Structure (POSCAR):
```
UBiPd6
1.0
4.1571 0.0000 0.0000
0.0000 4.1571 0.0000
0.0000 0.0000 8.2393
U Bi Pd
1 1 6
direct
0.0000 0.0000 0.0000
0.0000 0.0000 0.5000
0.0000 0.5000 0.2385
0.0000 0.5000 0.7615
0.5000 0.0000 0.2385
0.5000 0.0000 0.7615
0.5000 0.5000 0.0000
0.5000 0.5000 0.5000
```

Summary:
D(E_F) = 1.32 states/eV per atom
E = -6.181 eV per atom
DFT formation energy = -0.39 eV/atom
Magnetic moment = 1.74 μB/f.u.